A relaxed BaCr2PO11 crystal, computed with PBE with a Hubbard U.

POSCAR file:
```
BaCr2PO11
1.0
7.537 0.020 0.005
-2.140 7.423 0.096
-2.516 -1.304 9.304
O Ba Cr P
22 2 4 2
Direct
0.931 0.290 0.390
0.125 0.135 0.690
0.602 0.352 0.264
0.197 0.251 0.380
0.273 0.967 0.410
0.727 0.033 0.590
0.875 0.865 0.310
0.862 0.367 0.118
0.346 0.972 0.826
0.520 0.753 0.295
0.654 0.028 0.174
0.480 0.247 0.705
0.113 0.095 0.169
0.803 0.749 0.620
0.901 0.255 0.835
0.376 0.289 0.928
0.398 0.648 0.736
0.624 0.711 0.072
0.138 0.633 0.882
0.887 0.905 0.831
0.069 0.710 0.610
0.099 0.745 0.165
0.729 0.544 0.876
0.271 0.456 0.124
0.236 0.735 0.762
0.098 0.919 0.264
0.902 0.081 0.736
0.764 0.265 0.238
0.660 0.831 0.211
0.340 0.169 0.789
```

Results
Magnetization (μB per atom): 0.203
Volume (Å³/atom): 17.4
Symmetry: P-1 (2)
Energy (eV per atom): -6.46
Crystal system: triclinic